A plane-wave DFT calculation with PBE was carried out for BaCd2 after structural relaxation.

Unit cell a=7.9556 b=7.9556 c=5.5714 alpha=90.00 beta=90.00 gamma=145.97
Last column: nearest neighbours and their distance in Å.
Atoms (fractional coordinates):
Ba 0.0876 0.9124 0.7500  10 Cd 3.52-3.89, 2 Ba 3.86
Ba 0.9124 0.0876 0.2500  10 Cd 3.52-3.89, 2 Ba 3.86
Cd 0.2390 0.7610 0.2500  2 Cd 2.97
Cd 0.3826 0.6174 0.7500  2 Cd 2.97
Cd 0.6174 0.3826 0.2500  2 Cd 2.97
Cd 0.7610 0.2390 0.7500  2 Cd 2.97

Properties
ΔE_f: -0.2582 eV/atom
SG: No. 63